(1)
Computed, not measured: crystalline InAsW at its relaxed geometry at the GGA-PBEsol level of DFT.

a = 3.3024 Å, b = 3.3024 Å, c = 9.6448 Å
α = 90.00°, β = 90.00°, γ = 90.00°
Space group I4mm (No. 107)
Symmetry-distinct sites (fractional):
In  0.0000  0.0000  0.0000 (multiplicity 2)
As  0.0000  0.0000  0.3051 (multiplicity 2)
W  0.0000  0.0000  0.6904 (multiplicity 2)

Results
E_form ... 0.206 eV/atom

(2)
Computed, not measured: crystalline TaCrBr2 at its relaxed geometry at the GGA-PBEsol level of DFT.

a = 3.1016 Å, b = 3.1016 Å, c = 8.2773 Å
α = 90.00°, β = 90.00°, γ = 90.00°
Space group P4mm (No. 99)
Symmetry-distinct sites (fractional):
Ta  0.0000  0.0000  0.0000 (multiplicity 1)
Cr  0.5000  0.5000  0.7741 (multiplicity 1)
Br  0.0000  0.0000  0.5751 (multiplicity 1)
Br  0.5000  0.5000  0.1969 (multiplicity 1)

Results
ΔE_f (raw) ... 115 meV/atom
Excess energy over the best structure of this formula in the dataset ... 0.000 eV per atom

(3)
Computed, not measured: crystalline TaRe at its relaxed geometry at the GGA-PBEsol level of DFT.

a = 2.7806 Å, b = 2.7806 Å, c = 9.9508 Å
α = 90.00°, β = 90.00°, γ = 120.00°
Space group P6_3mc (No. 186)
Symmetry-distinct sites (fractional):
Ta  0.3333  0.6667  0.0000 (multiplicity 2)
Re  0.3333  0.6667  0.2623 (multiplicity 2)

Results
E_form ... 0.664 eV/atom

(4)
Computed, not measured: crystalline ReOs2Rh at its relaxed geometry at the GGA-PBEsol level of DFT.

a = 2.6948 Å, b = 3.8426 Å, c = 5.3977 Å
α = 90.00°, β = 90.00°, γ = 90.00°
Space group Pmm2 (No. 25)
Symmetry-distinct sites (fractional):
Re  0.0000  0.0000  0.0000 (multiplicity 1)
Os  0.0000  0.0000  0.5066 (multiplicity 1)
Os  0.5000  0.5000  0.7467 (multiplicity 1)
Rh  0.5000  0.5000  0.2495 (multiplicity 1)

Results
Excess energy over the best structure of this formula in the dataset ... 0.000 eV per atom
E_form ... 0.043 eV/atom

(5)
Computed, not measured: crystalline Hf2P2O9 at its relaxed geometry at the GGA-PBEsol level of DFT.

a = 13.6774 Å, b = 6.5728 Å, c = 10.0793 Å
α = 90.00°, β = 131.83°, γ = 90.00°
Space group C2/m (No. 12)
Symmetry-distinct sites (fractional):
Hf  0.0573  0.0000  0.4044 (multiplicity 4)
Hf  0.1838  0.5000  0.1360 (multiplicity 4)
P  0.0925  0.5000  0.3356 (multiplicity 4)
P  0.1699  0.0000  0.0407 (multiplicity 4)
O  0.0149  0.5000  0.1314 (multiplicity 4)
O  0.0317  0.0000  0.8534 (multiplicity 4)
O  0.0704  0.3096  0.3973 (multiplicity 8)
O  0.1143  0.0000  0.6566 (multiplicity 4)
O  0.1852  0.1910  0.1409 (multiplicity 8)
O  0.2259  0.5000  0.9765 (multiplicity 4)
O  0.2339  0.5000  0.4021 (multiplicity 4)

Results
ΔE_f (raw) ... -2937 meV/atom
Excess energy over the best structure of this formula in the dataset ... 0.000 eV per atom

(6)
Computed, not measured: crystalline Ba2BiPb2 at its relaxed geometry at the GGA-PBEsol level of DFT.

a = 8.4896 Å, b = 8.4896 Å, c = 5.1485 Å
α = 90.00°, β = 90.00°, γ = 90.00°
Space group P4/mbm (No. 127)
Symmetry-distinct sites (fractional):
Ba  0.1756  0.3244  0.0000 (multiplicity 4)
Bi  0.0000  0.0000  0.5000 (multiplicity 2)
Pb  0.1265  0.6265  0.5000 (multiplicity 4)

Results
E_form ... -0.595 eV/atom

no.,raw total energy (eV per atom)
1,-7.09
2,-6.52
3,-12.28
4,-11.43
5,-9.08
6,-3.91